(1)
Compound: NaV2Cr
Source: Alexandria
Functional: PBE-GGA
Structure: optimized geometry

a b c (Å): 3.754 3.754 9.927
angles (deg): 79.10 79.10 90.00
Last column: magnetic moment on the atom in μB.
Sites, in units of the cell vectors:
Cr 0.000 0.000 0.000  3.18
Cr 0.750 0.250 0.500  3.18
V 0.099 0.125 0.250  -1.16
V 0.651 0.625 0.250  -1.16
V 0.375 0.901 0.750  -1.16
V 0.875 0.349 0.750  -1.16
Na 0.500 0.500 0.000  0.01
Na 0.250 0.750 0.500  0.01

Its total energy is -24.33 eV per formula unit. Its symmetry is No. 122.

---

(2)
Compound: Dy2HgTe
Source: Alexandria
Functional: PBE-GGA
Structure: optimized geometry

a b c (Å): 4.037 4.037 8.560
angles (deg): 76.36 76.36 60.00
Sites, in units of the cell vectors:
Dy 0.083 0.083 0.752
Dy 0.250 0.250 0.249
Hg 0.499 0.499 0.502
Te 0.668 0.668 0.997

Its total energy is -15.77 eV per formula unit. Its symmetry is No. 160. The value obtained for the raw formation energy is -3.124 eV per formula unit.

---

(3)
Compound: LuGaCoPd
Source: Alexandria
Functional: PBE-GGA
Structure: optimized geometry

a b c (Å): 4.491 4.491 4.491
angles (deg): 60.00 60.00 60.00
Last column: magnetic moment on the atom in μB.
Sites, in units of the cell vectors:
Lu 0.000 0.000 0.000  -0.05
Co 0.750 0.750 0.750  0.70
Ga 0.500 0.500 0.500  0.00
Pd 0.250 0.250 0.250  0.08

Its total energy is -21.96 eV per formula unit. Its symmetry is No. 216.

---

(4)
Compound: CaTiGa4
Source: Alexandria
Functional: PBE-GGA
Structure: optimized geometry

a b c (Å): 5.374 5.374 5.374
angles (deg): 60.00 60.00 60.00
Last column: magnetic moment on the atom in μB.
Sites, in units of the cell vectors:
Ca 0.250 0.250 0.250  0.05
Ga 0.625 0.625 0.124  -0.02
Ga 0.625 0.124 0.625  -0.02
Ga 0.625 0.625 0.625  -0.02
Ga 0.124 0.625 0.625  -0.02
Ti 0.000 0.000 0.000  1.11

Its total energy is -23.58 eV per formula unit. Its symmetry is No. 216.

---

(5)
Compound: ScBN2F
Source: Alexandria
Functional: PBE-GGA
Structure: optimized geometry

a b c (Å): 3.332 3.332 3.718
angles (deg): 90.00 90.00 90.00
Sites, in units of the cell vectors:
Sc 0.500 0.500 0.500
B 0.000 0.000 0.000
N 0.000 0.500 0.000
N 0.500 0.000 0.000
F 0.000 0.000 0.500

Its total energy is -35.02 eV per formula unit. Its symmetry is No. 123. The value obtained for the raw formation energy is -3.486 eV per formula unit.

---

(6)
Compound: TlReSe
Source: Alexandria
Functional: PBE-GGA
Structure: optimized geometry

a b c (Å): 3.153 5.266 8.517
angles (deg): 91.45 100.51 89.99
Sites, in units of the cell vectors:
Tl 0.898 0.379 0.726
Tl 0.072 0.881 0.063
Re 0.742 0.752 0.408
Re 0.237 0.185 0.400
Se 0.346 0.874 0.620
Se 0.645 0.383 0.212

Its total energy is -17.67 eV per formula unit. Its symmetry is No. 1. The value obtained for the raw formation energy is 0.625 eV per formula unit.